(1)
Below is an optimized crystal structure of CaTcP2, with properties calculated at the PBE-GGA level.

Lattice parameters (Å, degrees): 3.8596 3.8596 17.6829 90.00 90.00 120.00
Closest atoms and distances in Å follow each position.
Space group R3m (No. 160, hexagonal axes)
Inequivalent atoms, fractional coordinates:
Ca 0.0000 0.0000 0.0000 [3 per cell]  6 P 2.95-2.98, 1 Tc 3.30
Tc 0.0000 0.0000 0.8136 [3 per cell]  3 P 2.31
P 0.0000 0.0000 0.2244 [3 per cell]  3 Tc 2.62
P 0.0000 0.0000 0.4452 [3 per cell]  3 Tc 2.31

ΔE to the lowest computed polymorph	19.2	meV per atom
formation energy	-0.569	eV/atom

(2)
Below is an optimized crystal structure of Cs3V5S12, with properties calculated at the PBE-GGA level.

Lattice parameters (Å, degrees): 15.9185 15.9185 15.9185 90.00 90.00 90.00
Closest atoms and distances in Å follow each position.
Space group Ia-3d (No. 230)
Inequivalent atoms, fractional coordinates:
Cs 0.0000 0.2500 0.1250 [24 per cell]  8 S 3.28-3.49
V 0.0000 0.0000 0.0000 [16 per cell]  6 S 2.47
V 0.0000 0.2500 0.3750 [24 per cell]  4 S 2.18
S 0.0364 0.1432 0.9528 [96 per cell]  1 V 2.18

energy relative to the elements, uncorrected	-777	meV/atom

(3)
Below is an optimized crystal structure of HRuPt3, with properties calculated at the PBE-GGA level.

Lattice parameters (Å, degrees): 4.8084 4.8084 4.8084 90.00 90.00 90.00
Closest atoms and distances in Å follow each position.
Space group Pm-3m (No. 221)
Inequivalent atoms, fractional coordinates:
H 0.0000 0.0000 0.0000 [1 per cell]  12 Pt 3.40
Ru 0.5000 0.5000 0.5000 [1 per cell]  6 Pt 2.40
Pt 0.0000 0.5000 0.5000 [3 per cell]  2 Ru 2.40

ΔE to the lowest computed polymorph	1583.8	meV per atom